GGA-PBE BaRuSe, optimized geometry; volume = 24.0 Å³/atom; formation energy (no corrections) = -0.146 eV per atom; energy above the most stable polymorph in this dataset = 341 meV/atom
1.0
6.2252 0.0156 0.0809
4.1836 4.6099 -0.0809
-5.2327 -2.2492 2.5141
Ba Ru Se
1 1 1
Cartesian
10.3877 4.6161 0.0000
2.9631 1.3167 0.0000
7.4670 3.3182 0.0000



GGA-PBE BaRuSe2, optimized geometry; volume = 23.9 Å³/atom; formation energy (no corrections) = -0.823 eV per atom; energy above the most stable polymorph in this dataset = 31 meV/atom
1.0
-2.0470 0.7825 -3.4607
-1.5456 -3.0848 -2.2078
-6.8174 -0.3914 1.5200
Ba Ru Se
1 1 2
Cartesian
-5.1080 -1.3538 -2.1344
-1.2751 -0.7620 -1.8417
-4.5286 -2.2395 -5.1004
-8.2958 -1.9875 -2.8148